No. 1
Below is ScNiOs2 at its PBEsol-relaxed geometry, with properties calculated at the meta-GGA SCAN level.

Computed properties:
Relative energy among the computed polymorphs, eV/atom: 0.008

a b c (Å): 2.7587 4.4522 4.7193
angles (deg): 90.00 97.02 90.00
Space group P2/m (No. 10)
One atom of each set of equivalent atoms:
Sc (0.0000, 0.0000, 0.0000) (multiplicity 1)
Ni (0.5000, 0.0000, 0.5000) (multiplicity 1)
Os (0.3069, 0.5000, 0.7364) (multiplicity 2)

No. 2
Below is ZnAgHgB2 at its PBEsol-relaxed geometry, with properties calculated at the meta-GGA SCAN level.

a b c (Å): 4.0885 4.0885 5.1224
angles (deg): 90.00 90.00 90.00
Space group P4/mmm (No. 123)
One atom of each set of equivalent atoms:
Zn (0.0000, 0.0000, 0.0000) (multiplicity 1)
Ag (0.0000, 0.0000, 0.5000) (multiplicity 1)
Hg (0.5000, 0.5000, 0.0000) (multiplicity 1)
B (0.0000, 0.5000, 0.5000) (multiplicity 2)

Short version: formation energy = 0.012, 1.333 eV/atom, in the order given.
Short version: spin magnetization = 0.00, 0.00 μB per cell, in the order given.